# TlCd2Ga9

A relaxed structure of TlCd2Ga9 (GGA-PBE, Alexandria).

It has space group P-1 (No. 2), with a = 5.5312 Å, b = 5.7470 Å, c = 8.8769 Å, α = 102.49°, β = 92.84° and γ = 111.74°. The asymmetric unit holds Tl at (0.0000, 0.0000, 0.0000), Cd at (0.0456, 0.1895, 0.3893), Ga at (0.0457, 0.6408, 0.2739), Ga at (0.3072, 0.5940, 0.0027), Ga at (0.4646, 0.9244, 0.7934), Ga at (0.4767, 0.4424, 0.6808) and Ga at (0.5000, 0.0000, 0.5000).

# TlCd4Ga

A relaxed structure of TlCd4Ga (GGA-PBE, Alexandria).

It has space group F-43m (No. 216), with a = 8.3991 Å, b = 8.3991 Å, c = 8.3991 Å, α = 90.00°, β = 90.00° and γ = 90.00°. The asymmetric unit holds Tl at (0.0000, 0.0000, 0.0000), Cd at (0.1247, 0.1247, 0.6247) and Ga at (0.2500, 0.2500, 0.2500).

As for the energy above the lowest structure with this stoichiometry: 0.0420 eV/atom.

# TlCdGa

A relaxed structure of TlCdGa (GGA-PBE, Alexandria).

It has space group Imma (No. 74), with a = 5.6824 Å, b = 6.0396 Å, c = 8.7288 Å, α = 90.00°, β = 90.00° and γ = 90.00°. The asymmetric unit holds Tl at (0.0000, 0.2500, 0.1240), Cd at (0.0000, 0.0000, 0.5000) and Ga at (0.2500, 0.2500, 0.7500).

# TlCdGa

A relaxed structure of TlCdGa (GGA-PBE, Alexandria).

It has space group P2_1/m (No. 11), with a = 6.3374 Å, b = 3.5274 Å, c = 7.0125 Å, α = 90.00°, β = 103.18° and γ = 90.00°. The asymmetric unit holds Tl at (0.0030, 0.2500, 0.2737), Cd at (0.4405, 0.2500, 0.6467) and Ga at (0.3384, 0.2500, 0.0289).

# Tl14CdGa

A relaxed structure of Tl14CdGa (GGA-PBE, Alexandria).

It has space group Amm2 (No. 38), with a = 11.3381 Å, b = 7.0507 Å, c = 11.9008 Å, α = 90.00°, β = 90.00° and γ = 90.00°. The asymmetric unit holds Tl at (0.0000, 0.0000, 0.0000), Tl at (0.0000, 0.0000, 0.4981), Tl at (0.0000, 0.2479, 0.7552), Tl at (0.2477, 0.0000, 0.1654), Tl at (0.2501, 0.0000, 0.6663), Tl at (0.2699, 0.2470, 0.9147), Tl at (0.5000, 0.2503, 0.1096), Cd at (0.5000, 0.0000, 0.3501) and Ga at (0.5000, 0.0000, 0.8453).

# TlCdGa

A relaxed structure of TlCdGa (GGA-PBE, Alexandria).

It has space group P1 (No. 1), with a = 4.6364 Å, b = 6.0921 Å, c = 6.2951 Å, α = 79.74°, β = 68.51° and γ = 67.71°. The asymmetric unit holds Tl at (0.0000, 0.0000, 0.0000), Tl at (0.1502, 0.3529, 0.3461), Cd at (0.4372, 0.3778, 0.7475), Cd at (0.7113, 0.5971, 0.9794), Ga at (0.4000, 0.7847, 0.4167) and Ga at (0.7539, 0.9162, 0.5772).

# TlCdGa

A relaxed structure of TlCdGa (GGA-PBE, Alexandria).

It has space group P-1 (No. 2), with a = 3.6890 Å, b = 5.6722 Å, c = 7.9391 Å, α = 79.50°, β = 76.71° and γ = 71.23°. The asymmetric unit holds Tl at (0.2118, 0.3969, 0.1811), Cd at (0.0000, 0.0000, 0.0000), Cd at (0.5000, 0.5000, 0.5000) and Ga at (0.1516, 0.0714, 0.6214).

# TlCd4Ga

A relaxed structure of TlCd4Ga (GGA-PBE, Alexandria).

It has space group Pmma (No. 51), with a = 8.9889 Å, b = 4.2002 Å, c = 7.7204 Å, α = 90.00°, β = 90.00° and γ = 90.00°. The asymmetric unit holds Tl at (0.2500, 0.0000, 0.1133), Cd at (0.0000, 0.0000, 0.5000), Cd at (0.0365, 0.5000, 0.8124), Cd at (0.2500, 0.5000, 0.4382) and Ga at (0.2500, 0.0000, 0.7231).

As for the energy above the lowest structure with this stoichiometry: 0.0000 eV/atom.

# TlCdGa

A relaxed structure of TlCdGa (GGA-PBE, Alexandria).

It has space group P1 (No. 1), with a = 3.4955 Å, b = 4.6359 Å, c = 9.5839 Å, α = 100.23°, β = 92.45° and γ = 90.11°. The asymmetric unit holds Tl at (0.0000, 0.0000, 0.0000), Tl at (0.4836, 0.4286, 0.8082), Cd at (0.5114, 0.8369, 0.5638), Cd at (0.9475, 0.5909, 0.2435), Ga at (0.4644, 0.1062, 0.2914) and Ga at (0.9966, 0.3227, 0.5179).

# TlCdGa

A relaxed structure of TlCdGa (GGA-PBE, Alexandria).

It has space group P1 (No. 1), with a = 3.4239 Å, b = 5.0039 Å, c = 8.8560 Å, α = 100.68°, β = 90.02° and γ = 90.07°. The asymmetric unit holds Tl at (0.0000, 0.0000, 0.0000), Tl at (0.4963, 0.4143, 0.7518), Cd at (0.4991, 0.0330, 0.3598), Cd at (0.9961, 0.8743, 0.6267), Ga at (0.0017, 0.4998, 0.3480) and Ga at (0.5021, 0.5333, 0.1089).

# TlCd2Ga2

A relaxed structure of TlCd2Ga2 (GGA-PBE, Alexandria).

It has space group I4/mmm (No. 139), with a = 4.3561 Å, b = 4.3561 Å, c = 25.6730 Å, α = 90.00°, β = 90.00° and γ = 90.00°. The asymmetric unit holds Tl at (0.0000, 0.0000, 0.1185), Cd at (0.0000, 0.0000, 0.3228), Cd at (0.0000, 0.5000, 0.0000), Ga at (0.0000, 0.0000, 0.4282) and Ga at (0.0000, 0.5000, 0.2500).

As for the energy above the lowest structure with this stoichiometry: 0.0278 eV/atom.

# TlCd6Ga

A relaxed structure of TlCd6Ga (GGA-PBE, Alexandria).

It has space group P4/mmm (No. 123), with a = 4.5364 Å, b = 4.5364 Å, c = 9.1000 Å, α = 90.00°, β = 90.00° and γ = 90.00°. The asymmetric unit holds Tl at (0.0000, 0.0000, 0.0000), Cd at (0.0000, 0.5000, 0.2645), Cd at (0.5000, 0.5000, 0.0000), Cd at (0.5000, 0.5000, 0.5000) and Ga at (0.0000, 0.0000, 0.5000).

# Tl3CdGa

A relaxed structure of Tl3CdGa (GGA-PBE, Alexandria).

It has space group Pm-3m (No. 221), with a = 5.6567 Å, b = 5.6567 Å, c = 5.6567 Å, α = 90.00°, β = 90.00° and γ = 90.00°. The asymmetric unit holds Tl at (0.0000, 0.0000, 0.5000), Cd at (0.0000, 0.0000, 0.0000) and Ga at (0.5000, 0.5000, 0.5000).

As for the energy above the lowest structure with this stoichiometry: 0.1730 eV/atom.

# TlCdGa

A relaxed structure of TlCdGa (GGA-PBE, Alexandria).

It has space group Pm (No. 6), with a = 4.2332 Å, b = 4.2509 Å, c = 8.3635 Å, α = 90.00°, β = 90.01° and γ = 90.00°. The asymmetric unit holds Tl at (0.0000, 0.0000, 0.0000), Tl at (0.4991, 0.5000, 0.7398), Cd at (0.4989, 0.0000, 0.3555), Cd at (0.9987, 0.0000, 0.6061), Ga at (0.9996, 0.5000, 0.3431) and Ga at (0.5003, 0.5000, 0.1181).

# TlCdGa

A relaxed structure of TlCdGa (GGA-PBE, Alexandria).

It has space group Pnma (No. 62), with a = 7.0412 Å, b = 4.3613 Å, c = 9.6814 Å, α = 90.00°, β = 90.00° and γ = 90.00°. The asymmetric unit holds Tl at (0.1387, 0.2500, 0.0868), Cd at (0.1158, 0.2500, 0.7509) and Ga at (0.1004, 0.2500, 0.4230).

# TlCdGa

A relaxed structure of TlCdGa (GGA-PBE, Alexandria).

It has space group I4mm (No. 107), with a = 3.4659 Å, b = 3.4659 Å, c = 12.3614 Å, α = 90.00°, β = 90.00° and γ = 90.00°. The asymmetric unit holds Tl at (0.0000, 0.0000, 0.0000), Cd at (0.0000, 0.0000, 0.3128) and Ga at (0.0000, 0.0000, 0.6722).

# Tl3Cd2Ga9

A relaxed structure of Tl3Cd2Ga9 (GGA-PBE, Alexandria).

It has space group Immm (No. 71), with a = 4.3310 Å, b = 10.5920 Å, c = 13.8530 Å, α = 90.00°, β = 90.00° and γ = 90.00°. The asymmetric unit holds Tl at (0.0000, 0.0000, 0.0000), Tl at (0.0000, 0.0000, 0.3093), Cd at (0.0000, 0.1999, 0.5000), Ga at (0.0000, 0.2760, 0.1526), Ga at (0.0000, 0.3746, 0.3350) and Ga at (0.0000, 0.5000, 0.0000).

# TlCd3Ga

A relaxed structure of TlCd3Ga (GGA-PBE, Alexandria).

It has space group C2/c (No. 15), with a = 14.7182 Å, b = 8.7307 Å, c = 8.4106 Å, α = 90.00°, β = 111.92° and γ = 90.00°. The asymmetric unit holds Tl at (0.0000, 0.0006, 0.2500), Tl at (0.0000, 0.4355, 0.7500), Cd at (0.0905, 0.2678, 0.1075), Cd at (0.1412, 0.2975, 0.5073), Cd at (0.2480, 0.4989, 0.8348) and Ga at (0.1814, 0.1900, 0.8572).

As for the energy above the lowest structure with this stoichiometry: 0.0437 eV/atom.

# TlCdGa

A relaxed structure of TlCdGa (GGA-PBE, Alexandria).

It has space group P2_1/m (No. 11), with a = 5.7219 Å, b = 4.1820 Å, c = 6.7438 Å, α = 90.00°, β = 108.68° and γ = 90.00°. The asymmetric unit holds Tl at (0.2263, 0.2500, 0.4373), Cd at (0.3959, 0.7500, 0.8285) and Ga at (0.0742, 0.2500, 0.9099).

# TlCdGa

A relaxed structure of TlCdGa (GGA-PBE, Alexandria).

It has space group P1 (No. 1), with a = 4.3601 Å, b = 5.8490 Å, c = 6.4152 Å, α = 94.11°, β = 109.56° and γ = 91.74°. The asymmetric unit holds Tl at (0.0000, 0.0000, 0.0000), Tl at (0.4160, 0.4765, 0.8232), Cd at (0.2995, 0.9449, 0.6005), Cd at (0.7135, 0.2522, 0.4274), Ga at (0.1117, 0.5016, 0.2285) and Ga at (0.6664, 0.7486, 0.3315).

# TlCdGa

A relaxed structure of TlCdGa (GGA-PBE, Alexandria).

It has space group P4/nmm (No. 129, origin choice 2), with a = 4.1573 Å, b = 4.1573 Å, c = 8.6526 Å, α = 90.00°, β = 90.00° and γ = 90.00°. The asymmetric unit holds Tl at (0.2500, 0.2500, 0.1204), Cd at (0.2500, 0.2500, 0.7427) and Ga at (0.2500, 0.7500, 0.5000).

# Tl2Cd6Ga

A relaxed structure of Tl2Cd6Ga (GGA-PBE, Alexandria).

It has space group C2/m (No. 12), with a = 15.2653 Å, b = 8.8605 Å, c = 3.3920 Å, α = 90.00°, β = 94.45° and γ = 90.00°. The asymmetric unit holds Tl at (0.1674, 0.0000, 0.4945), Cd at (0.0000, 0.1736, 0.0000), Cd at (0.1640, 0.3346, 0.9026) and Ga at (0.0000, 0.5000, 0.5000).

# Tl2CdGa2

A relaxed structure of Tl2CdGa2 (GGA-PBE, Alexandria).

It has space group P4/mbm (No. 127), with a = 8.6292 Å, b = 8.6292 Å, c = 3.5409 Å, α = 90.00°, β = 90.00° and γ = 90.00°. The asymmetric unit holds Tl at (0.1845, 0.3155, 0.0000), Cd at (0.0000, 0.0000, 0.0000) and Ga at (0.1139, 0.6139, 0.5000).

As for the energy above the lowest structure with this stoichiometry: 0.0921 eV/atom.

# TlCdGa

A relaxed structure of TlCdGa (GGA-PBE, Alexandria).

It has space group P6_3/mmc (No. 194), with a = 4.6221 Å, b = 4.6221 Å, c = 11.2507 Å, α = 90.00°, β = 90.00° and γ = 120.00°. The asymmetric unit holds Tl at (0.0000, 0.0000, 0.0000), Cd at (0.3333, 0.6667, 0.2500) and Ga at (0.0000, 0.0000, 0.2500).

ΔH_f (0 K), record by record: 4.7, 8.3, 5.3, 6.9, 3.4, 4.2, 7.3, 4.2, 6.4, 5.9, 7.8, 6.0, 40.8, 5.3, 9.8, 8.2, 3.8, 7.6, 6.7, 5.7, 6.6, 7.3, 15.3, 31.0 kJ per mole of atoms